A relaxed structure of CrIrO2. Source: Alexandria via LeMat-Bulk, functional PBE with a Hubbard U.

SG: Fm-3m
M_tot: 0.381 μB per atom
offset from the most stable computed form: 1944 meV/atom

Cell and atoms, written as POSCAR:
```
CrIrO2
1.0
0.000 2.762 2.762
2.762 0.000 2.762
2.762 2.762 0.000
Cr Ir O
1 1 2
Direct
0.000 0.000 0.000 Cr
0.500 0.500 0.500 Ir
0.250 0.250 0.250 O
0.750 0.750 0.750 O
```